VASP calculation (PBE with a Hubbard U) on a geometry-optimized ScCoPO structure.

Values from the calculation:
V   125.05 Å³ per cell
Electronic total energy   -53.949 eV for the cell shown
Symmetry   Pmc2_1

Cell lengths 3.5900, 5.7294, 6.0798 Å; angles 90.00, 90.00, 90.00 degrees
Sites, in units of the cell vectors:
Co 0.0000 0.6156 0.4551
Co 0.0000 0.3844 0.9551
O 0.5000 0.7512 0.3660
O 0.5000 0.2488 0.8660
P 0.0000 0.2267 0.3323
P 0.0000 0.7733 0.8323
Sc 0.5000 0.9702 0.1006
Sc 0.5000 0.0298 0.6006